The following is a DFT calculation (PBE-GGA) of a relaxed FeWCl crystal.

Output
E above lowest polymorph (meV per atom): 115
Formation energy from raw total energies (eV per atom): 0.509
Total energy (eV per atom): -7.25
Symmetry: Fmm2, No. 42

Cell: 6.703 6.414 2.915 Å, 82.78 71.66 25.56°
Element x y z (fractional)
W: 0.676 0.676 0.324
Fe: 0.327 0.327 0.673
Cl: 0.997 0.997 0.003